(1)
VASP calculation (GGA-PBE) on Hg2MoPt after structural relaxation.

The structure in extended XYZ format:
```
4
Lattice="5.0325 0.0000 0.0000 0.0000 5.0325 0.0000 0.0000 0.0000 2.9041" Properties=species:S:1:pos:R:3 pbc="T T T"
Hg 0.0000 2.5163 0.0000
Hg 2.5163 0.0000 0.0000
Mo 0.0000 0.0000 1.4521
Pt 2.5163 2.5163 1.4521
```

Theoretical density = 15628 kg/m3
Uncorrected energy = -15.35 eV per formula unit
Density of states at the Fermi level = 0.692 states/eV/atom
Energy relative to the lowest polymorph listed for this composition = 1.61 eV per formula unit

***

(2)
VASP calculation (GGA-PBE) on TcMo2W2 after structural relaxation.

The structure in extended XYZ format:
```
15
Lattice="4.4652 0.0000 0.0000 -2.2326 3.8670 0.0000 0.0000 0.0000 13.6882" Properties=species:S:1:pos:R:3 pbc="T T T"
Tc 0.0000 0.0000 0.0000
Tc 0.0000 2.5780 9.1255
Tc 2.2326 1.2890 4.5627
Mo 0.0000 0.0000 5.4840
Mo 0.0000 0.0000 8.2042
Mo 0.0000 2.5780 0.9213
Mo 0.0000 2.5780 3.6415
Mo 2.2326 1.2890 10.0468
Mo 2.2326 1.2890 12.7669
W 0.0000 0.0000 2.7557
W 0.0000 0.0000 10.9326
W 0.0000 2.5780 6.3698
W 0.0000 2.5780 11.8812
W 2.2326 1.2890 1.8071
W 2.2326 1.2890 7.3184
```

Theoretical density = 13860 kg/m3
Uncorrected energy = -57.71 eV per formula unit
Density of states at the Fermi level = 0.786 states/eV/atom
Energy relative to the lowest polymorph listed for this composition = 0.00 eV per formula unit

***

(3)
VASP calculation (GGA-PBE) on YCdOs3 after structural relaxation.

The structure in extended XYZ format:
```
5
Lattice="4.8345 0.0000 0.0000 0.0000 4.8345 0.0000 0.0000 0.0000 4.8345" Properties=species:S:1:pos:R:3 pbc="T T T"
Y 0.0000 0.0000 0.0000
Cd 2.4173 2.4173 2.4173
Os 0.0000 2.4173 2.4173
Os 2.4173 0.0000 2.4173
Os 2.4173 2.4173 0.0000
```

Theoretical density = 11345 kg/m3
Uncorrected energy = -30.20 eV per formula unit
Density of states at the Fermi level = 2.017 states/eV/atom
Energy relative to the lowest polymorph listed for this composition = 0.00 eV per formula unit

***

(4)
VASP calculation (GGA-PBE) on CeTm2Fe9 after structural relaxation.

The structure in extended XYZ format:
```
12
Lattice="2.5219 1.4560 8.1309 -2.5219 1.4560 8.1309 0.0000 -2.9120 8.1309" Properties=species:S:1:pos:R:3 pbc="T T T"
Ce 0.0000 0.0000 0.0000
Tm 0.0000 0.0000 3.4635
Tm 0.0000 0.0000 20.9291
Fe -1.2608 -0.7279 10.1657
Fe 0.0000 0.0000 8.1124
Fe 0.0000 -1.4559 14.2269
Fe -1.2608 0.7279 14.2269
Fe 0.0000 0.0000 12.1963
Fe 1.2608 -0.7279 10.1657
Fe 0.0000 1.4559 10.1657
Fe 0.0000 0.0000 16.2802
Fe 1.2608 0.7279 14.2269
```

Theoretical density = 9090 kg/m3
Uncorrected energy = -92.13 eV per formula unit
Density of states at the Fermi level = 1.118 states/eV/atom

***

(5)
VASP calculation (GGA-PBE) on Na3Ga4Ag4 after structural relaxation.

The structure in extended XYZ format:
```
11
Lattice="-2.2271 3.7223 7.0490 2.2271 -3.7223 7.0490 2.2271 3.7223 -7.0490" Properties=species:S:1:pos:R:3 pbc="T T T"
Na 0.0000 0.0000 0.0000
Na 2.2271 0.0000 5.3459
Na 0.0000 3.7223 1.7031
Ga 2.2271 1.4253 -2.4988
Ga 2.2271 1.4253 2.4988
Ga 0.0000 2.2971 4.5502
Ga 0.0000 2.2971 9.5478
Ag 0.0000 0.0000 3.0923
Ag 2.2271 2.2640 0.0000
Ag 0.0000 1.4583 7.0490
Ag 0.0000 0.0000 11.0058
```

Theoretical density = 5537 kg/m3
Uncorrected energy = -28.34 eV per formula unit
Density of states at the Fermi level = 0.473 states/eV/atom

***

(6)
VASP calculation (GGA-PBE) on Nd5Er2Tm after structural relaxation.

The structure in extended XYZ format:
```
16
Lattice="-4.5976 4.5976 6.3752 4.5976 -4.5976 6.3752 4.5976 4.5976 -6.3752" Properties=species:S:1:pos:R:3 pbc="T T T"
Nd 0.0000 0.0000 0.0000
Nd 3.2126 -1.3851 2.0921
Nd 5.9827 -1.3851 4.2832
Nd 5.9827 1.3851 2.0921
Nd 3.2126 1.3851 4.2832
Nd 0.0000 0.0000 6.3752
Nd 1.3851 3.2126 2.0921
Nd -1.3851 3.2126 4.2832
Nd -1.3851 5.9827 2.0921
Nd 1.3851 5.9827 4.2832
Er 3.2652 1.3324 0.0000
Er 3.2652 -1.3324 6.3752
Er 1.3324 5.9300 0.0000
Er 1.3324 3.2652 6.3752
Tm 0.0000 0.0000 3.1876
Tm 0.0000 0.0000 9.5628
```

Theoretical density = 7545 kg/m3
Uncorrected energy = -36.52 eV per formula unit
Density of states at the Fermi level = 1.321 states/eV/atom

***

(7)
VASP calculation (GGA-PBE) on Rb2MgBeH6 after structural relaxation.

The structure in extended XYZ format:
```
20
Lattice="2.8482 1.6444 9.1136 -2.8482 1.6444 9.1136 0.0000 -3.2888 9.1136" Properties=species:S:1:pos:R:3 pbc="T T T"
Rb 0.0000 0.0000 3.4228
Rb 0.0000 0.0000 7.8871
Rb 0.0000 0.0000 19.4536
Rb 0.0000 0.0000 23.9179
Mg 0.0000 0.0000 0.0000
Mg 0.0000 0.0000 13.6704
Be 0.0000 0.0000 11.2707
Be 0.0000 0.0000 16.0700
H -1.1523 -0.6653 12.2933
H 0.0000 -1.5114 10.2987
H -1.3089 0.7557 10.2987
H -1.3089 -0.7557 17.0420
H 0.0000 -1.3306 15.0474
H -1.1523 0.6653 15.0474
H 1.1523 -0.6653 12.2933
H 0.0000 1.3306 12.2933
H 1.3089 0.7557 10.2987
H 1.3089 -0.7557 17.0420
H 0.0000 1.5114 17.0420
H 1.1523 0.6653 15.0474
```

Theoretical density = 2727 kg/m3
Uncorrected energy = -28.64 eV per formula unit
Density of states at the Fermi level = 0.000 states/eV/atom

***

(8)
VASP calculation (GGA-PBE) on Ac3Pm5Nd2 after structural relaxation.

The structure in extended XYZ format:
```
20
Lattice="5.8182 -8.3807 0.0000 5.8182 8.3807 0.0000 -5.8134 0.0000 7.8552" Properties=species:S:1:pos:R:3 pbc="T T T"
Ac 1.4581 7.9701 5.8914
Ac -1.4307 2.2597 5.8549
Ac 1.4760 -2.2597 1.9273
Ac 4.3469 2.2597 5.9280
Ac 7.2536 -2.2597 2.0004
Ac 4.3648 -7.9701 1.9638
Pm 1.4581 4.6334 5.8914
Pm 1.5095 2.1095 3.5342
Pm 4.3648 3.6597 1.9638
Pm 4.3648 0.4221 1.9638
Pm -1.3972 -2.1095 7.4619
Pm 7.2202 2.1095 0.3934
Pm 1.4581 -0.4221 5.8914
Pm 1.4581 -3.6597 5.8914
Pm 4.3135 -2.1095 4.3210
Pm 4.3648 -4.6334 1.9638
Nd 1.5017 2.2364 0.3986
Nd -1.4049 -2.2364 4.3262
Nd 7.2279 2.2364 3.5290
Nd 4.3212 -2.2364 7.4566
```

Theoretical density = 7346 kg/m3
Uncorrected energy = -44.00 eV per formula unit
Density of states at the Fermi level = 1.956 states/eV/atom